DFT (PBE+U) results for an optimized crystal structure of HfMoN2F.

Computed properties:
Symmetry ... P4/mmm
M_tot ... 2.4 Bohr magnetons per cell
Excess energy over the best structure of this formula in the dataset ... 454.3 meV per atom

a = 4.0971 Å, b = 4.0971 Å, c = 3.9083 Å
α = 90.00°, β = 90.00°, γ = 90.00°
Element x y z (fractional)
Hf (0.0000, 0.0000, 0.0000)
Mo (0.5000, 0.5000, 0.5000)
N (0.0000, 0.5000, 0.5000)
N (0.5000, 0.0000, 0.5000)
F (0.5000, 0.5000, 0.0000)